! Rb4Y3SnSe8 | Alexandria | GGA-PBE | optimized geometry; values from VASP
&SYSTEM
  ibrav = 0, nat = 16, ntyp = 4
/
ATOMIC_SPECIES
Y 88.91 Y.upf
Se 78.96 Se.upf
Sn 118.71 Sn.upf
Rb 85.47 Rb.upf
CELL_PARAMETERS angstrom
8.511 0.000 0.000
0.000 9.363 0.592
-4.256 -4.254 6.021
ATOMIC_POSITIONS crystal
Y 0.000 0.500 0.500
Se 0.732 0.697 0.465
Sn 0.000 0.500 0.000
Se 0.269 0.306 0.037
Rb 0.500 0.000 0.500
Y 0.500 0.500 0.500
Rb 0.500 0.000 0.000
Se 0.768 0.306 0.037
Se 0.268 0.303 0.535
Se 0.232 0.694 0.464
Se 0.731 0.694 0.963
Se 0.232 0.694 0.963
Y 0.500 0.500 0.000
Rb 0.000 0.000 0.000
Rb 0.000 0.000 0.500
Se 0.768 0.306 0.536
! ΔE_f (raw): -1.485 eV/atom
! Total magnetic moment: 0.000 Bohr magnetons per cell
! Symmetry: R-3m